Entry 1:
{"formula": "LiMg2SnH", "functional": "PBE", "state": "relaxed", "total_energy_ev_per_fu": -13.54, "density_g_cm3": 3.47, "m_tot_mub_per_fu": 0.00, "space_group": "No. 123", "cell": [[4.4726, 0.0000, 0.0000], [0.0000, 4.4726, 0.0000], [0.0000, 0.0000, 4.1891]], "species": ["Li", "Mg", "Mg", "Sn", "H"], "frac_coords": [[0.0000, 0.0000, 0.0000], [0.0000, 0.5000, 0.5000], [0.5000, 0.0000, 0.5000], [0.5000, 0.5000, 0.0000], [0.0000, 0.0000, 0.5000]]}

=====

Entry 2:
{"formula": "InCuTcN2", "functional": "PBE", "state": "relaxed", "total_energy_ev_per_fu": -23.18, "density_g_cm3": 5.57, "m_tot_mub_per_fu": 2.66, "space_group": "No. 123", "cell": [[4.3096, 0.0000, 0.0000], [0.0000, 4.3096, 0.0000], [0.0000, 0.0000, 4.8861]], "species": ["In", "Cu", "Tc", "N", "N"], "frac_coords": [[0.0000, 0.0000, 0.0000], [0.0000, 0.0000, 0.5000], [0.5000, 0.5000, 0.5000], [0.0000, 0.5000, 0.0000], [0.5000, 0.0000, 0.0000]]}

=====

Entry 3:
{"formula": "CeHoSn", "functional": "PBE", "state": "relaxed", "total_energy_ev_per_fu": -16.25, "density_g_cm3": 8.39, "ef_ev_per_atom": -0.579, "m_tot_mub_per_fu": 0.44, "de_polymorph_mev_per_atom": 0, "space_group": "No. 139", "cell": [[-2.1858, 2.1858, 8.7720], [2.1858, -2.1858, 8.7720], [2.1858, 2.1858, -8.7720]], "species": ["Ce", "Ce", "Ho", "Ho", "Sn", "Sn"], "frac_coords": [[0.0000, 0.5000, 0.5000], [0.5000, 0.0000, 0.5000], [0.1778, 0.1778, 0.0000], [0.8222, 0.8222, 0.0000], [0.3580, 0.3580, 0.0000], [0.6420, 0.6420, 0.0000]]}

=====

Entry 4:
{"formula": "Nb3Au2C", "functional": "PBE", "state": "relaxed", "total_energy_ev_per_fu": -47.60, "density_g_cm3": 12.07, "ef_ev_per_atom": -0.268, "m_tot_mub_per_fu": 0.00, "space_group": "No. 213", "cell": [[7.2217, 0.0000, 0.0000], [0.0000, 7.2217, 0.0000], [0.0000, 0.0000, 7.2217]], "species": ["Nb", "Nb", "Nb", "Nb", "Nb", "Nb", "Nb", "Nb", "Nb", "Nb", "Nb", "Nb", "Au", "Au", "Au", "Au", "Au", "Au", "Au", "Au", "C", "C", "C", "C"], "frac_coords": [[0.0426, 0.1250, 0.7926], [0.1250, 0.7926, 0.0426], [0.2074, 0.5426, 0.3750], [0.2926, 0.4574, 0.8750], [0.3750, 0.2074, 0.5426], [0.4574, 0.8750, 0.2926], [0.5426, 0.3750, 0.2074], [0.6250, 0.7074, 0.9574], [0.7074, 0.9574, 0.6250], [0.7926, 0.0426, 0.1250], [0.8750, 0.2926, 0.4574], [0.9574, 0.6250, 0.7074], [0.0642, 0.9358, 0.4358], [0.1858, 0.1858, 0.1858], [0.3142, 0.8142, 0.6858], [0.4358, 0.0642, 0.9358], [0.5642, 0.5642, 0.5642], [0.6858, 0.3142, 0.8142], [0.8142, 0.6858, 0.3142], [0.9358, 0.4358, 0.0642], [0.1250, 0.3750, 0.6250], [0.3750, 0.6250, 0.1250], [0.6250, 0.1250, 0.3750], [0.8750, 0.8750, 0.8750]]}

=====

Entry 5:
{"formula": "Pu6P5S", "functional": "PBE", "state": "relaxed", "total_energy_ev_per_fu": -132.37, "density_g_cm3": 10.08, "m_tot_mub_per_fu": 30.68, "space_group": "No. 12", "cell": [[3.4656, -6.0033, 0.0000], [3.4656, 6.0033, 0.0000], [-2.3103, 0.0000, 6.5353]], "species": ["Pu", "Pu", "Pu", "Pu", "Pu", "Pu", "P", "P", "P", "P", "P", "S"], "frac_coords": [[0.0829, 0.4164, 0.7493], [0.2498, 0.2498, 0.2502], [0.4164, 0.0829, 0.7493], [0.5836, 0.9171, 0.2507], [0.7502, 0.7502, 0.7498], [0.9171, 0.5836, 0.2507], [0.0000, 0.0000, 0.5000], [0.1667, 0.8333, 0.0000], [0.3339, 0.6661, 0.5000], [0.6661, 0.3339, 0.5000], [0.8333, 0.1667, 0.0000], [0.5000, 0.5000, 0.0000]]}

=====

Entry 6:
{"formula": "SmPaSi2Ir5", "functional": "PBE", "state": "relaxed", "total_energy_ev_per_fu": -75.23, "density_g_cm3": 12.82, "m_tot_mub_per_fu": 0.00, "space_group": "No. 123", "cell": [[4.0236, 0.0000, 0.0000], [0.0000, 4.0236, 0.0000], [0.0000, 0.0000, 11.1937]], "species": ["Sm", "Pa", "Si", "Si", "Ir", "Ir", "Ir", "Ir", "Ir"], "frac_coords": [[0.0000, 0.0000, 0.0000], [0.0000, 0.0000, 0.5000], [0.5000, 0.5000, 0.2089], [0.5000, 0.5000, 0.7911], [0.0000, 0.5000, 0.3222], [0.0000, 0.5000, 0.6778], [0.5000, 0.0000, 0.3222], [0.5000, 0.0000, 0.6778], [0.5000, 0.5000, 0.0000]]}

=====

Copy entry 5 word for word.
{"formula": "Pu6P5S", "functional": "PBE", "state": "relaxed", "total_energy_ev_per_fu": -132.37, "density_g_cm3": 10.08, "m_tot_mub_per_fu": 30.68, "space_group": "No. 12", "cell": [[3.4656, -6.0033, 0.0000], [3.4656, 6.0033, 0.0000], [-2.3103, 0.0000, 6.5353]], "species": ["Pu", "Pu", "Pu", "Pu", "Pu", "Pu", "P", "P", "P", "P", "P", "S"], "frac_coords": [[0.0829, 0.4164, 0.7493], [0.2498, 0.2498, 0.2502], [0.4164, 0.0829, 0.7493], [0.5836, 0.9171, 0.2507], [0.7502, 0.7502, 0.7498], [0.9171, 0.5836, 0.2507], [0.0000, 0.0000, 0.5000], [0.1667, 0.8333, 0.0000], [0.3339, 0.6661, 0.5000], [0.6661, 0.3339, 0.5000], [0.8333, 0.1667, 0.0000], [0.5000, 0.5000, 0.0000]]}